# 1
First-principles (PBE-GGA) data for an optimized crystal structure of Nd6Rh2I3Cl, as listed in Alexandria.

- Formation energy from raw total energies: -96.39 kJ/mol of atoms
- E: -5.15 eV/atom
- Symmetry: C2/m

Cell and atoms, written as extended XYZ:
```
12
Lattice="3.717 -6.418 0.000 3.717 6.418 0.000 -2.464 0.000 7.975" Properties=species:S:1:pos:R:3 pbc="T T T"
Nd -0.103 2.326 6.458
Nd 1.027 0.000 1.503
Nd -0.103 -2.326 6.458
Nd 5.071 2.326 1.517
Nd 3.942 0.000 6.472
Nd 5.071 -2.326 1.517
Rh 3.717 4.273 0.000
Rh 3.717 -4.273 0.000
I -1.232 0.000 3.988
I 2.484 2.074 3.988
I 2.484 -2.074 3.988
Cl 3.717 0.000 0.000
```

# 2
First-principles (PBE-GGA) data for an optimized crystal structure of Nd8Ru3I4Cl, as listed in Alexandria.

- Formation energy from raw total energies: -75.93 kJ/mol of atoms
- E: -5.41 eV/atom
- Symmetry: R-3m

Cell and atoms, written as extended XYZ:
```
16
Lattice="4.241 2.448 8.069 -4.241 2.448 8.069 0.000 -4.897 8.069" Properties=species:S:1:pos:R:3 pbc="T T T"
Nd -2.290 -1.322 13.607
Nd 0.000 0.000 5.554
Nd 0.000 -2.645 10.601
Nd -2.290 1.322 10.601
Nd 2.290 -1.322 13.607
Nd 0.000 2.645 13.607
Nd 0.000 0.000 18.654
Nd 2.290 1.322 10.601
Ru -4.241 0.000 12.104
Ru -2.120 1.224 4.035
Ru 2.120 1.224 4.035
I 0.000 0.000 0.000
I -2.120 -1.224 8.069
I -2.120 1.224 16.139
I 0.000 2.448 8.069
Cl 0.000 0.000 12.104
```

# 3
First-principles (PBE-GGA) data for an optimized crystal structure of Nd3RuICl, as listed in Alexandria.

- Formation energy from raw total energies: -88.89 kJ/mol of atoms
- E: -5.42 eV/atom
- Symmetry: P2_1/m

Cell and atoms, written as extended XYZ:
```
12
Lattice="9.343 0.000 0.000 0.000 4.222 0.000 -1.081 0.000 9.753" Properties=species:S:1:pos:R:3 pbc="T T T"
Nd 0.661 1.055 3.171
Nd 0.433 1.055 8.865
Nd 1.955 3.166 6.062
Nd 6.307 1.055 3.690
Nd 7.829 3.166 0.888
Nd 7.601 3.166 6.581
Ru 0.035 1.055 6.043
Ru 8.227 3.166 3.709
I 3.482 3.166 3.135
I 4.781 1.055 6.618
Cl 2.330 3.166 8.919
Cl 5.933 1.055 0.833
```

# 4
First-principles (PBE-GGA) data for an optimized crystal structure of Nd6Si2I3Cl, as listed in Alexandria.

- Formation energy from raw total energies: -99.28 kJ/mol of atoms
- E: -4.86 eV/atom
- Symmetry: C2/m

Cell and atoms, written as extended XYZ:
```
12
Lattice="3.709 -6.431 0.000 3.709 6.431 0.000 -2.477 0.000 7.683" Properties=species:S:1:pos:R:3 pbc="T T T"
Nd -0.035 2.203 6.187
Nd 1.173 0.000 1.491
Nd -0.035 -2.203 6.187
Nd 4.977 2.203 1.496
Nd 3.769 0.000 6.192
Nd 4.977 -2.203 1.496
Si 3.709 4.290 0.000
Si 3.709 -4.290 0.000
I -1.239 0.000 3.842
I 2.471 2.161 3.842
I 2.471 -2.161 3.842
Cl 3.709 0.000 0.000
```

# 5
First-principles (PBE-GGA) data for an optimized crystal structure of NiI2Cl, as listed in Alexandria.

- Formation energy from raw total energies: 59.00 kJ/mol of atoms
- E: -2.07 eV/atom
- Symmetry: Fm-3m

Cell and atoms, written as extended XYZ:
```
4
Lattice="0.000 3.636 3.636 3.636 0.000 3.636 3.636 3.636 0.000" Properties=species:S:1:pos:R:3 pbc="T T T"
Ni 0.000 0.000 0.000
I 1.818 1.818 1.818
I 5.455 5.455 5.455
Cl 3.636 3.636 3.636
```

# 6
First-principles (PBE-GGA) data for an optimized crystal structure of NiI2Cl, as listed in Alexandria.

- Formation energy from raw total energies: -7.75 kJ/mol of atoms
- E: -2.76 eV/atom
- Symmetry: P1

Cell and atoms, written as extended XYZ:
```
4
Lattice="3.911 0.000 0.000 1.868 5.999 0.000 1.878 2.089 6.469" Properties=species:S:1:pos:R:3 pbc="T T T"
Ni 0.000 0.000 0.000
I 5.781 6.139 2.492
I 5.791 3.629 4.505
Cl 5.702 7.249 6.080
```